# PBE with a Hubbard U Ba3Ti2CrO9, relaxed
# M_tot, μB per cell: 2.0
# DFT total energy, eV per atom: -7.650
data_Ba3Ti2CrO9
_chemical_formula_sum 'Ba3 Ti2 Cr1 O9'
_space_group_name_H-M_alt 'P -3 m 1'
_space_group_IT_number 164
_space_group_name_Hall '-P 3 2"'
_cell_length_a 5.6784
_cell_length_b 5.6784
_cell_length_c 6.9659
_cell_angle_alpha 90.00
_cell_angle_beta 90.00
_cell_angle_gamma 120.00
loop_
_atom_site_label
_atom_site_type_symbol
_atom_site_fract_x
_atom_site_fract_y
_atom_site_fract_z
Ba1 Ba 0.0000 0.0000 0.0000
Ba2 Ba 0.3333 0.6667 0.6655
Ti1 Ti 0.3333 0.6667 0.1678
Cr1 Cr 0.0000 0.0000 0.5000
O1 O 0.0000 0.5000 0.0000
O2 O 0.1653 0.3306 0.3336